1.
## Na2ZrH (PBE)

Data for crystalline Na2ZrH at its relaxed geometry.

The structure in extended XYZ format:
```
4
Lattice="0.0000 3.7600 3.7600 3.7600 0.0000 3.7600 3.7600 3.7600 0.0000" Properties=species:S:1:pos:R:3 pbc="T T T"
Na 1.8800 1.8800 1.8800
Na 5.6400 5.6400 5.6400
Zr 0.0000 0.0000 0.0000
H 3.7600 3.7600 3.7600
```

## Properties
E_tot ... -2.331 eV per atom

2.
## Na3Zr5H12 (PBE)

Data for crystalline Na3Zr5H12 at its relaxed geometry.

The structure in extended XYZ format:
```
80
Lattice="-6.2005 6.2005 6.2005 6.2005 -6.2005 6.2005 6.2005 6.2005 -6.2005" Properties=species:S:1:pos:R:3 pbc="T T T"
Na 3.1003 1.5501 0.0000
Na 6.2005 3.1003 -1.5501
Na 1.5501 0.0000 3.1003
Na 7.7507 0.0000 3.1003
Na 0.0000 3.1003 1.5501
Na 3.1003 -1.5501 6.2005
Na 3.1003 7.7507 0.0000
Na 6.2005 3.1003 4.6504
Na -1.5501 6.2005 3.1003
Na 4.6504 6.2005 3.1003
Na 0.0000 3.1003 7.7507
Na 3.1003 4.6504 6.2005
Zr 0.0000 0.0000 0.0000
Zr 3.1003 3.1003 -3.1003
Zr 3.1003 -3.1003 3.1003
Zr 6.2005 0.0000 0.0000
Zr 9.3008 1.5501 0.0000
Zr 6.2005 -3.1003 4.6504
Zr 4.6504 6.2005 -3.1003
Zr 4.6504 0.0000 3.1003
Zr 3.1003 4.6504 0.0000
Zr 6.2005 3.1003 1.5501
Zr -3.1003 3.1003 3.1003
Zr 0.0000 6.2005 0.0000
Zr 0.0000 0.0000 6.2005
Zr 3.1003 3.1003 3.1003
Zr 0.0000 3.1003 4.6504
Zr 3.1003 1.5501 6.2005
Zr 1.5501 6.2005 3.1003
Zr 1.5501 0.0000 9.3008
Zr 0.0000 9.3008 1.5501
Zr -3.1003 4.6504 6.2005
H 1.9279 -0.0937 0.6025
H 7.3729 3.7028 -3.1939
H 8.1284 0.0937 0.6025
H 7.3729 -2.4978 3.1939
H 6.1069 -0.6025 1.9279
H 9.3945 -1.1724 2.4978
H 0.6025 1.9279 -0.0937
H 8.6983 3.0066 -1.1724
H 3.7028 3.1939 -1.1724
H 5.5981 1.9279 0.0937
H -0.0937 0.6025 1.9279
H 3.1939 -1.1724 3.7028
H 6.1069 5.5981 -1.9279
H 3.1939 1.1724 2.4978
H 3.7028 -3.1939 7.3729
H 5.5981 -1.9279 6.1069
H 2.4978 3.1939 1.1724
H 6.8030 4.2726 0.0937
H 3.1939 7.3729 -2.4978
H 6.1069 0.6025 4.2726
H 1.9279 6.1069 -0.6025
H 7.3729 2.4978 3.0066
H 1.1724 2.4978 3.1939
H 1.9279 0.0937 5.5981
H 4.2726 6.1069 0.6025
H 5.0282 3.7028 3.0066
H -1.1724 3.7028 3.1939
H 4.2726 0.0937 6.8030
H 0.0937 5.5981 1.9279
H 3.0066 -1.1724 8.6983
H -0.6025 1.9279 6.1069
H 3.7028 3.0066 5.0282
H 0.6025 8.1284 0.0937
H 2.4978 9.3945 -1.1724
H 3.0066 5.0282 3.7028
H 0.0937 0.6025 8.1284
H 3.0066 7.3729 2.4978
H 6.2942 5.5981 4.2726
H 0.6025 4.2726 6.1069
H 2.4978 3.0066 7.3729
H -2.4978 3.1939 7.3729
H 5.5981 4.2726 6.2942
H -3.1939 7.3729 3.7028
H 0.0937 6.8030 4.2726
H -1.1724 8.6983 3.0066
H -1.9279 6.1069 5.5981
H -1.1724 2.4978 9.3945
H 4.2726 6.2942 5.5981
```

## Properties
E_tot ... -4.504 eV per atom

3.
## NaZr2H (PBE)

Data for crystalline NaZr2H at its relaxed geometry.

The structure in extended XYZ format:
```
4
Lattice="0.0000 3.3351 3.3351 3.3351 0.0000 3.3351 3.3351 3.3351 0.0000" Properties=species:S:1:pos:R:3 pbc="T T T"
Na 0.0000 0.0000 0.0000
Zr 1.6676 1.6676 1.6676
Zr 5.0027 5.0027 5.0027
H 3.3351 3.3351 3.3351
```

## Properties
E_tot ... -4.440 eV per atom

4.
## NbH4 (PBE)

Data for crystalline NbH4 at its relaxed geometry.

The structure in extended XYZ format:
```
5
Lattice="-2.1644 2.1644 2.1644 2.1644 -2.1644 2.1644 2.1644 2.1644 -2.1644" Properties=species:S:1:pos:R:3 pbc="T T T"
Nb 0.0000 0.0000 0.0000
H 1.0822 1.0822 -1.0822
H 1.0822 -1.0822 1.0822
H -1.0822 1.0822 1.0822
H 1.0822 1.0822 1.0822
```

## Properties
E_tot ... -4.337 eV per atom

5.
## NbH (PBE)

Data for crystalline NbH at its relaxed geometry.

The structure in extended XYZ format:
```
12
Lattice="5.3941 0.0000 0.0000 0.0000 5.3941 0.0000 0.0000 0.0000 5.3941" Properties=species:S:1:pos:R:3 pbc="T T T"
Nb 0.0000 1.3485 2.6970
Nb 0.0000 4.0456 2.6970
Nb 1.3485 2.6970 0.0000
Nb 2.6970 0.0000 1.3485
Nb 2.6970 0.0000 4.0456
Nb 4.0456 2.6970 0.0000
H 0.0000 2.6970 1.3485
H 0.0000 2.6970 4.0456
H 1.3485 0.0000 2.6970
H 2.6970 1.3485 0.0000
H 2.6970 4.0456 0.0000
H 4.0456 0.0000 2.6970
```

## Properties
E_tot ... -6.348 eV per atom

6.
## NbH (PBE)

Data for crystalline NbH at its relaxed geometry.

The structure in extended XYZ format:
```
8
Lattice="4.8509 0.0000 0.0000 0.0000 4.8509 0.0000 0.0000 0.0000 3.5636" Properties=species:S:1:pos:R:3 pbc="T T T"
Nb 1.2019 1.2019 0.0000
Nb 1.2235 3.6274 1.7818
Nb 3.6274 1.2235 1.7818
Nb 3.6490 3.6490 0.0000
H 0.7294 4.1215 0.0000
H 1.6960 1.6960 1.7818
H 3.1549 3.1549 1.7818
H 4.1215 0.7294 0.0000
```

## Properties
E_tot ... -6.906 eV per atom

7.
## Nb2H3 (PBE)

Data for crystalline Nb2H3 at its relaxed geometry.

The structure in extended XYZ format:
```
5
Lattice="2.6880 -1.5404 0.0000 2.6880 1.5404 0.0000 -0.0270 0.0000 5.3198" Properties=species:S:1:pos:R:3 pbc="T T T"
Nb 0.8904 0.0000 1.4073
Nb 4.4585 0.0000 3.9125
H 0.8692 0.0000 4.7301
H 2.6745 0.0000 2.6599
H 4.4797 0.0000 0.5898
```

## Properties
E_tot ... -6.233 eV per atom

8.
## NbH4 (PBE)

Data for crystalline NbH4 at its relaxed geometry.

The structure in extended XYZ format:
```
5
Lattice="3.6022 0.0000 0.0000 0.0000 3.6022 0.0000 0.0000 0.0000 3.6022" Properties=species:S:1:pos:R:3 pbc="T T T"
Nb 0.0000 0.0000 0.0000
H 0.0000 0.0000 1.8011
H 0.0000 1.8011 0.0000
H 1.8011 0.0000 0.0000
H 1.8011 1.8011 1.8011
```

## Properties
E_tot ... -3.972 eV per atom

9.
## NbH (PBE)

Data for crystalline NbH at its relaxed geometry.

The structure in extended XYZ format:
```
12
Lattice="7.0173 0.0000 0.0000 -3.5086 6.0772 0.0000 0.0000 0.0000 3.3757" Properties=species:S:1:pos:R:3 pbc="T T T"
Nb -1.5923 4.4544 0.8439
Nb 0.4471 2.4710 0.8439
Nb 2.3635 0.8482 2.5318
Nb 1.1452 5.2289 0.8439
Nb 3.0615 3.6062 2.5318
Nb 5.1009 1.6227 2.5318
H -2.0780 3.6191 2.5318
H 1.4134 2.4680 2.5318
H 2.8440 0.0100 0.8439
H 0.6646 6.0672 2.5318
H 2.0953 3.6092 0.8439
H 5.5866 2.4580 0.8439
```

## Properties
E_tot ... -6.562 eV per atom

10.
## Nb3H4 (PBE)

Data for crystalline Nb3H4 at its relaxed geometry.

The structure in extended XYZ format:
```
14
Lattice="-3.1783 3.1783 3.1783 3.1783 -3.1783 3.1783 3.1783 3.1783 -3.1783" Properties=species:S:1:pos:R:3 pbc="T T T"
Nb 3.1783 -1.5892 2.3837
Nb 2.3837 3.1783 -1.5892
Nb 3.1783 1.5892 0.7946
Nb 1.5892 0.7946 3.1783
Nb 0.7946 3.1783 1.5892
Nb -1.5892 2.3837 3.1783
H 1.9860 1.1923 -1.1923
H 3.5751 -0.3968 0.3968
H 1.1923 -1.1923 1.9860
H 1.1923 1.1923 1.1923
H -1.1923 1.9860 1.1923
H 0.3968 3.5751 -0.3968
H -0.3968 0.3968 3.5751
H 2.7815 2.7815 2.7815
```

## Properties
E_tot ... -6.227 eV per atom

11.
## Nb3H (PBE)

Data for crystalline Nb3H at its relaxed geometry.

The structure in extended XYZ format:
```
4
Lattice="2.7742 0.0000 0.0000 0.0000 2.7874 0.0000 0.0000 0.0000 7.7189" Properties=species:S:1:pos:R:3 pbc="T T T"
Nb 0.0000 0.0000 0.0000
Nb 0.0000 1.3937 2.7058
Nb 1.3871 1.3937 5.3398
H 1.3871 0.0000 1.9215
```

## Properties
E_tot ... -8.169 eV per atom

12.
## NbH (PBE)

Data for crystalline NbH at its relaxed geometry.

The structure in extended XYZ format:
```
16
Lattice="4.8724 0.0000 0.0000 0.0000 4.8906 0.0000 0.0000 0.0000 6.9984" Properties=species:S:1:pos:R:3 pbc="T T T"
Nb 1.1821 0.0422 1.7679
Nb 1.1966 2.3987 0.0040
Nb 1.2396 2.4919 3.5032
Nb 1.2540 4.8484 5.2672
Nb 3.6183 2.4031 5.2305
Nb 3.6327 0.0466 6.9945
Nb 3.6758 4.8440 3.4952
Nb 3.6902 2.4875 1.7313
H 0.6289 4.2820 0.0314
H 0.6423 1.8266 5.2469
H 1.7939 3.0640 1.7477
H 1.8073 0.6086 3.5306
H 3.0651 3.0540 6.9671
H 3.0785 0.6187 1.7516
H 4.2301 4.2719 5.2508
H 4.2435 1.8367 3.4679
```

## Properties
E_tot ... -6.927 eV per atom

13.
## NbH (PBE)

Data for crystalline NbH at its relaxed geometry.

The structure in extended XYZ format:
```
4
Lattice="2.4730 -1.6909 0.0000 2.4730 1.6909 0.0000 -0.1194 0.0000 5.0165" Properties=species:S:1:pos:R:3 pbc="T T T"
Nb 0.0000 0.0000 0.0000
Nb 2.4132 0.0000 2.5083
H 0.6490 0.0000 3.2601
H 4.1775 0.0000 1.7564
```

## Properties
E_tot ... -6.900 eV per atom

14.
## Nb4H (PBE)

Data for crystalline Nb4H at its relaxed geometry.

The structure in extended XYZ format:
```
5
Lattice="4.2591 0.0000 0.0000 0.0000 4.2591 0.0000 0.0000 0.0000 4.2591" Properties=species:S:1:pos:R:3 pbc="T T T"
Nb 0.0000 0.0000 0.0000
Nb 0.0000 2.1296 2.1296
Nb 2.1296 0.0000 2.1296
Nb 2.1296 2.1296 0.0000
H 2.1296 2.1296 2.1296
```

## Properties
E_tot ... -8.586 eV per atom

15.
## NbH (PBE)

Data for crystalline NbH at its relaxed geometry.

The structure in extended XYZ format:
```
4
Lattice="3.4631 0.0000 0.0000 0.0000 3.4631 0.0000 0.0000 0.0000 3.4867" Properties=species:S:1:pos:R:3 pbc="T T T"
Nb 0.8658 0.8658 0.8396
Nb 2.5973 2.5973 2.6470
H 0.8658 2.5973 1.7433
H 2.5973 0.8658 1.7433
```

## Properties
E_tot ... -6.932 eV per atom

16.
## NbH (PBE)

Data for crystalline NbH at its relaxed geometry.

The structure in extended XYZ format:
```
4
Lattice="4.8742 0.0000 0.0000 0.0000 1.7664 2.4253 0.0000 -1.7664 2.4253" Properties=species:S:1:pos:R:3 pbc="T T T"
Nb 1.1670 -0.8832 2.4253
Nb 3.7072 0.8832 2.4253
H 1.7622 0.8832 1.8963
H 3.1120 -0.8832 1.8963
```

## Properties
E_tot ... -6.917 eV per atom

17.
## Nb8H (PBE)

Data for crystalline Nb8H at its relaxed geometry.

The structure in extended XYZ format:
```
9
Lattice="5.7847 0.0000 0.0000 -2.8923 5.0097 0.0000 0.0000 0.0000 5.2556" Properties=species:S:1:pos:R:3 pbc="T T T"
Nb 0.0000 1.6948 1.2956
Nb -1.4246 4.1623 1.2956
Nb 0.0000 3.3398 3.9202
Nb 1.4677 0.8474 3.9601
Nb 1.4246 4.1623 1.2956
Nb 2.8924 1.6699 1.3354
Nb 4.3170 0.8474 3.9601
Nb 2.8923 3.3149 3.9601
H 0.0000 0.0000 2.6278
```

## Properties
E_tot ... -9.124 eV per atom

18.
## NbH (PBE)

Data for crystalline NbH at its relaxed geometry.

The structure in extended XYZ format:
```
2
Lattice="0.0000 2.2260 2.2260 2.2260 0.0000 2.2260 2.2260 2.2260 0.0000" Properties=species:S:1:pos:R:3 pbc="T T T"
Nb 0.0000 0.0000 0.0000
H 1.1130 1.1130 1.1130
```

## Properties
E_tot ... -6.780 eV per atom

19.
## Nb2H (PBE)

Data for crystalline Nb2H at its relaxed geometry.

The structure in extended XYZ format:
```
6
Lattice="3.3906 0.0000 0.0000 0.0000 3.3906 0.0000 0.0000 0.0000 6.8950" Properties=species:S:1:pos:R:3 pbc="T T T"
Nb 0.8477 0.8477 0.8264
Nb 0.8477 0.8477 4.2739
Nb 2.5430 2.5430 2.6211
Nb 2.5430 2.5430 6.0686
H 0.8477 2.5430 1.7238
H 2.5430 0.8477 5.1713
```

## Properties
E_tot ... -7.973 eV per atom

20.
## NbH (PBE)

Data for crystalline NbH at its relaxed geometry.

The structure in extended XYZ format:
```
8
Lattice="-4.0400 4.0400 1.5969 4.0400 -4.0400 1.5969 4.0400 4.0400 -1.5969" Properties=species:S:1:pos:R:3 pbc="T T T"
Nb 5.4479 0.9255 0.0000
Nb 0.9255 2.6321 0.0000
Nb 3.1144 1.4079 1.5969
Nb -1.4079 3.1144 1.5969
H 1.9526 0.9160 0.0000
H 3.1239 -2.0874 1.5969
H 0.9160 6.1274 0.0000
H 2.0874 3.1239 1.5969
```

## Properties
E_tot ... -6.607 eV per atom